Nd7Te2Pd2 | GGA-PBE | optimized geometry

Geometry as POSCAR:
```
Nd7Te2Pd2
1.0
-2.035 8.250 4.972
2.035 -8.250 4.972
2.035 8.250 -4.972
Nd Te Pd
7 2 2
Direct
0.000 0.000 0.000
0.288 0.415 0.873
0.299 0.618 0.681
0.542 0.415 0.127
0.616 0.259 0.357
0.903 0.259 0.643
0.938 0.618 0.319
0.263 0.763 0.500
0.664 0.664 0.000
0.162 0.925 0.237
0.688 0.925 0.763
```

Results
- Mass density: 7.351 g cm⁻³
- V: 333.8 Å³ per cell
- Crystal system: orthorhombic
- VASP energy: -58.892 eV for the cell shown
- Formation energy from raw total energies: -8.8 eV per formula unit